<i>
## Nd3Dy7Tm (PBE-GGA)

Data for crystalline Nd3Dy7Tm at its relaxed geometry.

Structure (POSCAR):
```
Nd3Dy7Tm
1.0
7.071 0.000 0.000
-3.536 6.124 0.000
0.000 0.000 8.680
Nd Dy Tm
3 7 1
direct
0.000 0.500 0.000
0.500 0.000 0.000
0.500 0.500 0.000
0.168 0.335 0.338
0.168 0.832 0.338
0.335 0.167 0.663
0.665 0.832 0.338
0.667 0.333 0.340
0.833 0.167 0.663
0.833 0.665 0.663
0.333 0.667 0.661
```



<ii>
## Nd3Dy7Tm (PBE-GGA)

Data for crystalline Nd3Dy7Tm at its relaxed geometry.

Structure (POSCAR):
```
Nd3Dy7Tm
1.0
6.949 0.000 0.000
0.000 5.532 0.000
-3.243 0.000 9.459
Nd Dy Tm
3 7 1
direct
0.000 0.000 0.000
0.279 0.500 0.495
0.721 0.500 0.505
0.000 0.000 0.500
0.149 0.500 0.789
0.322 0.500 0.135
0.427 0.000 0.329
0.573 0.000 0.671
0.678 0.500 0.865
0.851 0.500 0.211
0.500 0.000 0.000
```



Stability, highest: <ii>



<i>
## NdDy3Tm5 (PBE-GGA)

Data for crystalline NdDy3Tm5 at its relaxed geometry.

Structure (POSCAR):
```
NdDy3Tm5
1.0
8.354 -3.950 0.000
8.354 3.950 0.000
-7.885 0.000 9.220
Nd Dy Tm
2 6 10
direct
0.237 0.237 0.131
0.763 0.763 0.869
0.000 0.000 0.000
0.173 0.173 0.341
0.380 0.380 0.686
0.500 0.500 0.500
0.620 0.620 0.314
0.827 0.827 0.659
0.122 0.122 0.565
0.141 0.729 0.219
0.271 0.859 0.781
0.299 0.299 0.927
0.322 0.678 0.000
0.678 0.322 0.000
0.701 0.701 0.073
0.729 0.141 0.219
0.859 0.271 0.781
0.878 0.878 0.435
```



<ii>
## NdDy3Tm5 (PBE-GGA)

Data for crystalline NdDy3Tm5 at its relaxed geometry.

Structure (POSCAR):
```
NdDy3Tm5
1.0
8.365 -4.809 0.000
8.365 4.809 0.000
0.000 0.000 6.956
Nd Dy Tm
2 6 10
direct
0.188 0.812 0.750
0.812 0.188 0.250
0.171 0.171 0.000
0.171 0.171 0.500
0.500 0.500 0.000
0.500 0.500 0.500
0.829 0.829 0.000
0.829 0.829 0.500
0.147 0.853 0.250
0.149 0.500 0.750
0.186 0.499 0.250
0.499 0.186 0.750
0.500 0.149 0.250
0.500 0.851 0.750
0.501 0.814 0.250
0.814 0.501 0.750
0.851 0.500 0.250
0.853 0.147 0.750
```



Stability, highest: <ii>



<i>
## Nd2Dy5Tm12 (PBE-GGA)

Data for crystalline Nd2Dy5Tm12 at its relaxed geometry.

Structure (POSCAR):
```
Nd2Dy5Tm12
1.0
7.823 -4.577 0.000
7.823 4.577 0.000
-0.203 0.000 8.432
Nd Dy Tm
2 5 12
direct
0.186 0.814 0.000
0.814 0.186 0.000
0.198 0.198 0.008
0.267 0.267 0.423
0.500 0.500 0.500
0.733 0.733 0.577
0.802 0.802 0.992
0.056 0.056 0.329
0.064 0.682 0.347
0.163 0.524 0.753
0.318 0.936 0.653
0.407 0.407 0.117
0.476 0.837 0.247
0.524 0.163 0.753
0.593 0.593 0.883
0.682 0.064 0.347
0.837 0.476 0.247
0.936 0.318 0.653
0.944 0.944 0.671
```



<ii>
## Nd2Dy5Tm12 (PBE-GGA)

Data for crystalline Nd2Dy5Tm12 at its relaxed geometry.

Structure (POSCAR):
```
Nd2Dy5Tm12
1.0
6.099 0.000 0.000
-0.019 9.327 0.000
-1.029 -2.021 10.312
Nd Dy Tm
2 5 12
direct
0.080 0.315 0.473
0.920 0.685 0.527
0.238 0.947 0.420
0.342 0.368 0.052
0.500 0.000 0.000
0.658 0.632 0.948
0.762 0.053 0.580
0.026 0.105 0.156
0.132 0.526 0.792
0.185 0.737 0.104
0.289 0.158 0.739
0.395 0.579 0.367
0.447 0.790 0.686
0.553 0.210 0.314
0.605 0.421 0.633
0.711 0.842 0.261
0.815 0.263 0.896
0.868 0.474 0.208
0.974 0.895 0.844
```



Stability, highest: <ii>



<i>
## Nd2Dy7Tm3 (PBE-GGA)

Data for crystalline Nd2Dy7Tm3 at its relaxed geometry.

Structure (POSCAR):
```
Nd2Dy7Tm3
1.0
6.319 0.000 0.000
0.000 3.507 0.000
-1.870 0.000 17.286
Nd Dy Tm
2 7 3
direct
0.061 0.000 0.173
0.939 0.000 0.827
0.000 0.500 0.500
0.228 0.000 0.667
0.257 0.000 0.998
0.276 0.500 0.337
0.724 0.500 0.663
0.743 0.000 0.002
0.772 0.000 0.333
0.451 0.500 0.843
0.500 0.000 0.500
0.549 0.500 0.157
```



<ii>
## Nd2Dy7Tm3 (PBE-GGA)

Data for crystalline Nd2Dy7Tm3 at its relaxed geometry.

Structure (POSCAR):
```
Nd2Dy7Tm3
1.0
2.838 -18.815 0.000
2.838 18.815 0.000
0.000 0.000 3.599
Nd Dy Tm
2 7 3
direct
0.148 0.852 0.000
0.852 0.148 0.000
0.000 0.000 0.000
0.071 0.929 0.500
0.231 0.769 0.000
0.411 0.589 0.000
0.589 0.411 0.000
0.769 0.231 0.000
0.929 0.071 0.500
0.314 0.686 0.500
0.500 0.500 0.500
0.686 0.314 0.500
```



Stability, highest: <i>



<i>
## NdDy4Tm4 (PBE-GGA)

Data for crystalline NdDy4Tm4 at its relaxed geometry.

Structure (POSCAR):
```
NdDy4Tm4
1.0
-5.306 5.306 2.488
5.306 -5.306 2.488
5.306 5.306 -2.488
Nd Dy Tm
1 4 4
direct
0.000 0.000 0.000
0.000 0.333 0.333
0.000 0.667 0.667
0.333 0.000 0.333
0.667 0.000 0.667
0.332 0.332 0.665
0.332 0.668 0.000
0.668 0.332 0.000
0.668 0.668 0.335
```



<ii>
## NdDy4Tm4 (PBE-GGA)

Data for crystalline NdDy4Tm4 at its relaxed geometry.

Structure (POSCAR):
```
NdDy4Tm4
1.0
6.725 0.000 0.000
2.038 8.345 0.000
2.757 1.556 10.084
Nd Dy Tm
2 8 8
direct
0.242 0.470 0.215
0.758 0.530 0.785
0.088 0.163 0.461
0.380 0.832 0.630
0.386 0.837 0.962
0.390 0.836 0.297
0.610 0.164 0.703
0.614 0.163 0.038
0.620 0.168 0.370
0.912 0.837 0.539
0.082 0.168 0.793
0.085 0.163 0.123
0.244 0.478 0.880
0.244 0.479 0.546
0.756 0.521 0.454
0.756 0.522 0.120
0.915 0.837 0.877
0.918 0.832 0.207
```



Stability, highest: <i>



<i>
## Nd2DyTm2 (PBE-GGA)

Data for crystalline Nd2DyTm2 at its relaxed geometry.

Structure (POSCAR):
```
Nd2DyTm2
1.0
-1.824 2.841 15.816
1.824 -2.841 15.816
1.824 2.841 -15.816
Nd Dy Tm
4 2 4
direct
0.273 0.023 0.250
0.373 0.123 0.250
0.627 0.877 0.750
0.727 0.977 0.750
0.168 0.418 0.750
0.832 0.582 0.250
0.052 0.802 0.250
0.460 0.710 0.750
0.540 0.290 0.250
0.948 0.198 0.750
```



<ii>
## Nd2DyTm2 (PBE-GGA)

Data for crystalline Nd2DyTm2 at its relaxed geometry.

Structure (POSCAR):
```
Nd2DyTm2
1.0
3.093 -1.787 0.000
3.093 1.787 0.000
-0.008 0.000 14.597
Nd Dy Tm
2 1 2
direct
0.168 0.168 0.394
0.832 0.832 0.606
0.500 0.500 0.000
0.166 0.166 0.806
0.834 0.834 0.194
```



Stability, highest: <ii>